[1]
## Sb2PdI (PBE)

Data for crystalline Sb2PdI at its relaxed geometry.

Computed properties:
* total magnetization: 0.00 μB/cell
* N(E_F): 2.21 states/eV/f.u.
* raw total energy: -15.8 eV/f.u.
* energy relative to the elements, uncorrected: -201 meV/atom

a b c (Å): 4.2992 4.2992 22.0456
angles (deg): 90.00 90.00 120.00
Space group R3m (No. 160, hexagonal axes)
Unique sites:
Sb1 0.0000 0.0000 0.0000
Sb2 0.0000 0.0000 0.2315
Pd1 0.0000 0.0000 0.6175
I1 0.0000 0.0000 0.7859


[2]
## Mn4Pb3 (PBE)

Data for crystalline Mn4Pb3 at its relaxed geometry.

Computed properties:
* total magnetization: 15.71 μB/cell
* N(E_F): 6.72 states/eV/f.u.
* E_form: 0.862 eV/atom
* raw total energy: -41.8 eV/f.u.

a b c (Å): 6.1814 6.1814 4.9449
angles (deg): 90.00 90.00 120.00
Space group P6/mmm (No. 191)
Unique sites:
Mn1 0.0000 0.0000 0.2458
Mn2 0.3333 0.6667 0.0000
Pb1 0.0000 0.5000 0.5000


[3]
## SrMgAg2Ge (PBE)

Data for crystalline SrMgAg2Ge at its relaxed geometry.

Computed properties:
* total magnetization: 0.00 μB/cell
* N(E_F): 2.26 states/eV/f.u.
* E_form: -0.311 eV/atom
* raw total energy: -15.2 eV/f.u.

a b c (Å): 4.324 4.497 12.074
angles (deg): 90.00 90.00 90.00
Space group Imm2 (No. 44)
Unique sites:
Sr1 0.000 0.000 0.000
Mg1 0.000 0.500 0.737
Ag1 0.000 0.000 0.387
Ag2 0.000 0.500 0.235
Ge1 0.000 0.000 0.605


[4]
## Fe3Br (PBE)

Data for crystalline Fe3Br at its relaxed geometry.

Computed properties:
* total magnetization: 25.41 μB/cell
* N(E_F): 4.23 states/eV/f.u.
* raw total energy: -25.0 eV/f.u.
* energy relative to the elements, uncorrected: 517 meV/atom

a b c (Å): 3.0512 3.0512 22.6311
angles (deg): 90.00 90.00 120.00
Space group R-3m (No. 166, hexagonal axes)
Unique sites:
Fe1 0.0000 0.0000 0.0000
Fe2 0.0000 0.0000 0.2565
Br1 0.0000 0.0000 0.5000